Density functional theory data (PBE) for crystalline K3Hg6Pb at its relaxed geometry.

a = 6.661 Å, b = 7.952 Å, c = 7.952 Å
α = 112.52°, β = 106.21°, γ = 106.21°
Fractional coordinates of all 10 atoms:
K (0.316, 0.500, 0.000)
K (0.316, 0.000, 0.500)
K (0.816, 0.500, 0.500)
Hg (0.873, 0.000, 0.704)
Hg (0.873, 0.704, 0.000)
Hg (0.759, 0.000, 0.297)
Hg (0.759, 0.297, 0.000)
Hg (0.462, 0.703, 0.703)
Hg (0.169, 0.296, 0.296)
Pb (0.317, 0.000, 0.000)

=====

Density functional theory data (PBE) for crystalline KHg2Pb6 at its relaxed geometry.

a = 4.978 Å, b = 4.978 Å, c = 11.886 Å
α = 90.00°, β = 90.00°, γ = 90.00°
Fractional coordinates of all 9 atoms:
K (0.000, 0.000, 0.000)
Hg (0.500, 0.500, 0.120)
Hg (0.500, 0.500, 0.880)
Pb (0.000, 0.500, 0.290)
Pb (0.500, 0.000, 0.290)
Pb (0.000, 0.500, 0.710)
Pb (0.500, 0.000, 0.710)
Pb (0.500, 0.500, 0.500)
Pb (0.000, 0.000, 0.500)

=====

Density functional theory data (PBE) for crystalline KHgPb3 at its relaxed geometry.

The value obtained for the energy above the most stable polymorph in this dataset is 986.2 meV per atom.

a = 6.080 Å, b = 6.080 Å, c = 6.080 Å
α = 90.00°, β = 90.00°, γ = 90.00°
Fractional coordinates of all 5 atoms:
Pb (0.000, 0.500, 0.000)
Pb (0.000, 0.000, 0.500)
Pb (0.500, 0.000, 0.000)
K (0.000, 0.000, 0.000)
Hg (0.500, 0.500, 0.500)

=====

Density functional theory data (PBE) for crystalline K2Hg7Pb at its relaxed geometry.

a = 5.216 Å, b = 5.216 Å, c = 12.033 Å
α = 90.00°, β = 90.00°, γ = 90.00°
Fractional coordinates of all 10 atoms:
K (0.500, 0.000, 0.749)
K (0.000, 0.500, 0.251)
Hg (0.000, 0.500, 0.870)
Hg (0.500, 0.000, 0.370)
Hg (0.500, 0.000, 0.130)
Hg (0.000, 0.500, 0.630)
Hg (0.000, 0.000, 0.500)
Hg (0.000, 0.000, 0.000)
Hg (0.500, 0.500, 0.500)
Pb (0.500, 0.500, 0.000)

=====

Computed values of DFT total energy (unit: eV per atom) for the preceding records, in sequence: -1.111, -2.729, -1.630, -0.961.
Computed values of energy of formation from the pure elements (unit: eV/atom) for the preceding records, in sequence: -0.230, -0.068, 0.875, -0.159.
Computed values of magnetization (unit: μB per formula unit) for the preceding records, in sequence: 0.0, 0.0, 0.0, 0.0.